KScW2O8: relaxed, GGA+U.

a = 11.112 Å, b = 10.261 Å, c = 7.377 Å
α = 90.00°, β = 131.27°, γ = 90.00°
Space group C2/c (No. 15)
Unique sites:
K  0.000  0.208  0.250
Sc  0.000  0.221  0.750
W  0.197  0.499  0.700
O  0.003  0.384  0.942
O  0.157  0.123  0.726
O  0.170  0.134  0.096
O  0.188  0.433  0.438

Fermi-level density of states	0.00	states/eV/cell
V	158.1	Å³/f.u.
electronic total energy	-7.5059	eV/atom